Record 1
{
  "formula": "MgGaFeW",
  "functional": "GGA-PBE",
  "state": "optimized geometry",
  "lattice": [[-2.822, 0.429, 3.338], [-2.955, 3.250, -0.026], [-4.257, -0.906, -0.593]],
  "species": ["Fe", "Ga", "Mg", "W"],
  "frac_coords": [[0.750, 0.750, 0.750], [0.000, 0.000, 0.000], [0.500, 0.500, 0.500], [0.250, 0.250, 0.250]],
  "polymorph_energy_ev_per_fu": 0.76,
  "vol_a3_per_cell": 59.93
}

=====

Record 2
{
  "formula": "NbSeBr",
  "functional": "GGA-PBE",
  "state": "optimized geometry",
  "lattice": [[-0.582, -7.343, 1.026], [-5.304, -2.725, 4.444], [-5.744, -3.718, -2.914]],
  "species": ["Br", "Br", "Br", "Br", "Nb", "Nb", "Nb", "Nb", "Se", "Se", "Se", "Se"],
  "frac_coords": [[0.870, 0.870, 0.391], [0.870, 0.391, 0.870], [0.391, 0.870, 0.870], [0.870, 0.870, 0.870], [0.602, 0.602, 0.195], [0.602, 0.195, 0.602], [0.195, 0.602, 0.602], [0.602, 0.602, 0.602], [0.365, 0.365, 0.365], [0.905, 0.365, 0.365], [0.365, 0.905, 0.365], [0.365, 0.365, 0.905]],
  "e_tot_ev_per_cell": -71.56,
  "vol_a3_per_cell": 290.87
}

=====

Record 3
{
  "formula": "Al2Ni3",
  "functional": "GGA-PBE",
  "state": "optimized geometry",
  "lattice": [[-5.747, -5.798, 3.525], [5.442, -1.179, 6.933], [-2.088, 3.420, 2.221]],
  "species": ["Al", "Al", "Al", "Al", "Al", "Al", "Al", "Al", "Al", "Al", "Al", "Al", "Ni", "Ni", "Ni", "Ni", "Ni", "Ni", "Ni", "Ni", "Ni", "Ni", "Ni", "Ni", "Ni", "Ni", "Ni", "Ni", "Ni", "Ni"],
  "frac_coords": [[0.462, 0.134, 0.000], [0.402, 0.402, 0.000], [0.134, 0.462, 0.000], [0.866, 0.538, 0.000], [0.598, 0.598, 0.000], [0.538, 0.866, 0.000], [0.634, 0.038, 0.500], [0.902, 0.098, 0.500], [0.962, 0.366, 0.500], [0.038, 0.634, 0.500], [0.098, 0.902, 0.500], [0.366, 0.962, 0.500], [0.000, 0.000, 0.000], [0.735, 0.064, 0.000], [0.936, 0.265, 0.000], [0.064, 0.735, 0.000], [0.265, 0.936, 0.000], [0.683, 0.317, 0.250], [0.317, 0.683, 0.250], [0.183, 0.183, 0.250], [0.817, 0.817, 0.250], [0.436, 0.235, 0.500], [0.235, 0.436, 0.500], [0.500, 0.500, 0.500], [0.765, 0.564, 0.500], [0.564, 0.765, 0.500], [0.183, 0.183, 0.750], [0.817, 0.817, 0.750], [0.683, 0.317, 0.750], [0.317, 0.683, 0.750]],
  "polymorph_energy_ev_per_fu": 0.91,
  "vol_a3_per_cell": 362.25
}

=====

Record 4
{
  "formula": "Pr2CuReSb4",
  "functional": "GGA-PBE",
  "state": "optimized geometry",
  "lattice": [[-1.865, 3.716, 1.352], [-0.899, -1.854, 3.856], [9.207, 3.268, 3.717]],
  "species": ["Cu", "Pr", "Pr", "Re", "Sb", "Sb", "Sb", "Sb"],
  "frac_coords": [[0.000, 0.000, 0.000], [0.000, 0.500, 0.257], [0.500, 0.000, 0.743], [0.500, 0.500, 0.000], [0.500, 0.000, 0.149], [0.000, 0.000, 0.500], [0.500, 0.500, 0.500], [0.000, 0.500, 0.851]],
  "e_tot_ev_per_cell": -45.35,
  "vol_a3_per_cell": 199.80
}

=====

Record 5
{
  "formula": "TbTaN2O",
  "functional": "GGA-PBE",
  "state": "optimized geometry",
  "lattice": [[-1.214, -4.615, -2.625], [5.300, 1.224, 0.997], [-1.301, 0.157, 5.753]],
  "species": ["N", "N", "N", "N", "O", "O", "Ta", "Ta", "Tb", "Tb"],
  "frac_coords": [[0.226, 0.428, 0.246], [0.469, 0.021, 0.274], [0.752, 0.556, 0.726], [0.172, 0.190, 0.735], [0.832, 0.796, 0.268], [0.550, 0.968, 0.755], [0.312, 0.183, 0.443], [0.712, 0.860, 0.557], [0.716, 0.363, 0.097], [0.258, 0.635, 0.901]],
  "e_tot_ev_per_cell": -95.08,
  "vol_a3_per_cell": 131.96
}

=====

Record 6
{
  "formula": "NiCl2",
  "functional": "GGA-PBE",
  "state": "optimized geometry",
  "lattice": [[7.181, 0.000, 0.000], [0.000, 2.975, 3.005], [0.000, -2.975, 3.005]],
  "species": ["Cl", "Cl", "Cl", "Cl", "Ni", "Ni"],
  "frac_coords": [[0.000, 0.011, 0.011], [0.500, 0.011, 0.011], [0.250, 0.510, 0.490], [0.750, 0.490, 0.510], [0.750, 0.985, 0.689], [0.250, 0.689, 0.985]],
  "e_tot_ev_per_cell": -20.93,
  "vol_a3_per_cell": 128.38
}

=====

Record 7
{
  "formula": "CsErFe",
  "functional": "GGA-PBE",
  "state": "optimized geometry",
  "lattice": [[0.000, 3.699, 3.699], [3.699, 0.000, 3.699], [3.699, 3.699, 0.000]],
  "species": ["Cs", "Er", "Fe"],
  "frac_coords": [[0.250, 0.250, 0.250], [0.000, 0.000, 0.000], [0.750, 0.750, 0.750]],
  "e_tot_ev_per_cell": -9.18,
  "vol_a3_per_cell": 101.22
}

=====

Record 8
{
  "formula": "CsErCoTe3",
  "functional": "GGA-PBE",
  "state": "optimized geometry",
  "lattice": [[-8.561, -6.019, 0.456], [1.094, -1.261, 3.896], [-1.382, 9.946, 3.607]],
  "species": ["Co", "Co", "Cs", "Cs", "Er", "Er", "Te", "Te", "Te", "Te", "Te", "Te"],
  "frac_coords": [[0.924, 0.750, 0.410], [0.076, 0.250, 0.590], [0.220, 0.250, 0.247], [0.780, 0.750, 0.753], [0.673, 0.250, 0.141], [0.327, 0.750, 0.859], [0.886, 0.750, 0.154], [0.476, 0.750, 0.169], [0.816, 0.250, 0.461], [0.184, 0.750, 0.539], [0.524, 0.250, 0.831], [0.114, 0.250, 0.846]],
  "polymorph_energy_ev_per_fu": 0.00,
  "vol_a3_per_cell": 431.05
}